# 1
Entry from the Alexandria database: an optimized crystal structure of Ca2AgHgMo (PBE).

Output
The calculation puts the raw total energy at -14.04 eV/cell. The calculation puts the formation energy at 790 meV/atom. The value obtained for the density is 4.66 g/cm3. For the density of states at the Fermi level, the calculation gives 3.7 states/eV/cell.

Cell: 5.740 5.740 5.238 Å, 90.00 90.00 90.00°
Element x y z (fractional)
Ca: 0.000 0.500 0.000
Ca: 0.500 0.000 0.000
Ag: 0.000 0.000 0.500
Hg: 0.500 0.500 0.000
Mo: 0.500 0.500 0.500

=====

# 2
Entry from the Alexandria database: an optimized crystal structure of Ca7AgHg2N2 (PBE).

Output
The calculation puts the raw total energy at -41.00 eV/cell. The value obtained for the density is 4.47 g/cm3. For the density of states at the Fermi level, the calculation gives 6.2 states/eV/cell.

Cell: 4.866 4.866 13.266 Å, 100.35 100.35 90.00°
Element x y z (fractional)
Ca: 0.000 0.000 0.000
Ca: 0.092 0.592 0.187
Ca: 0.190 0.190 0.384
Ca: 0.408 0.908 0.813
Ca: 0.592 0.092 0.187
Ca: 0.810 0.810 0.616
Ca: 0.908 0.408 0.813
Ag: 0.500 0.500 0.000
Hg: 0.318 0.318 0.633
Hg: 0.682 0.682 0.367
N: 0.099 0.099 0.199
N: 0.901 0.901 0.801

=====

# 3
Entry from the Alexandria database: an optimized crystal structure of NaCaAgHg (PBE).

Output
The calculation puts the raw total energy at -29.97 eV/cell. The calculation puts the formation energy at -255 meV/atom. The value obtained for the density is 6.05 g/cm3. For the density of states at the Fermi level, the calculation gives 10.7 states/eV/cell.

Cell: 7.416 7.416 7.416 Å, 90.00 90.00 90.00°
Element x y z (fractional)
Na: 0.000 0.000 0.000
Na: 0.000 0.500 0.500
Na: 0.500 0.000 0.500
Na: 0.500 0.500 0.000
Ca: 0.000 0.000 0.500
Ca: 0.000 0.500 0.000
Ca: 0.500 0.000 0.000
Ca: 0.500 0.500 0.500
Ag: 0.250 0.250 0.250
Ag: 0.250 0.750 0.750
Ag: 0.750 0.250 0.750
Ag: 0.750 0.750 0.250
Hg: 0.250 0.250 0.750
Hg: 0.250 0.750 0.250
Hg: 0.750 0.250 0.250
Hg: 0.750 0.750 0.750

=====

# 4
Entry from the Alexandria database: an optimized crystal structure of NaCa2AgHg4 (PBE).

Output
The calculation puts the raw total energy at -12.11 eV/cell. The calculation puts the formation energy at -341 meV/atom. The value obtained for the density is 8.53 g/cm3. For the density of states at the Fermi level, the calculation gives 4.3 states/eV/cell.

Cell: 8.975 8.975 8.975 Å, 33.60 33.60 33.60°
Element x y z (fractional)
Na: 0.000 0.000 0.000
Ca: 0.246 0.246 0.246
Ca: 0.754 0.754 0.754
Ag: 0.500 0.500 0.500
Hg: 0.124 0.124 0.124
Hg: 0.375 0.375 0.375
Hg: 0.625 0.625 0.625
Hg: 0.876 0.876 0.876

=====

# 5
Entry from the Alexandria database: an optimized crystal structure of CaNdAgHg (PBE).

Output
The calculation puts the raw total energy at -46.33 eV/cell. The calculation puts the formation energy at -415 meV/atom. The value obtained for the density is 7.66 g/cm3. For the density of states at the Fermi level, the calculation gives 12.9 states/eV/cell.

Cell: 7.531 7.531 7.531 Å, 90.00 90.00 90.00°
Element x y z (fractional)
Ca: 0.000 0.000 0.000
Ca: 0.000 0.500 0.500
Ca: 0.500 0.000 0.500
Ca: 0.500 0.500 0.000
Nd: 0.000 0.000 0.500
Nd: 0.000 0.500 0.000
Nd: 0.500 0.000 0.000
Nd: 0.500 0.500 0.500
Ag: 0.250 0.250 0.750
Ag: 0.250 0.750 0.250
Ag: 0.750 0.250 0.250
Ag: 0.750 0.750 0.750
Hg: 0.250 0.250 0.250
Hg: 0.250 0.750 0.750
Hg: 0.750 0.250 0.750
Hg: 0.750 0.750 0.250

=====

# 6
Entry from the Alexandria database: an optimized crystal structure of CaNiAg2Hg (PBE).

Output
The calculation puts the raw total energy at -7.68 eV/cell. The calculation puts the formation energy at 1222 meV/atom. The value obtained for the density is 5.13 g/cm3. For the density of states at the Fermi level, the calculation gives 13.6 states/eV/cell.

Cell: 5.426 5.426 5.666 Å, 90.00 90.00 90.00°
Element x y z (fractional)
Ca: 0.000 0.000 0.000
Ni: 0.500 0.500 0.500
Ag: 0.000 0.500 0.000
Ag: 0.500 0.000 0.000
Hg: 0.000 0.000 0.500

=====

# 7
Entry from the Alexandria database: an optimized crystal structure of Ca2AgHgP (PBE).

Output
The calculation puts the raw total energy at -12.09 eV/cell. The calculation puts the formation energy at 95 meV/atom. The value obtained for the density is 4.46 g/cm3. For the density of states at the Fermi level, the calculation gives 1.4 states/eV/cell.

Cell: 5.565 5.565 5.043 Å, 90.00 90.00 90.00°
Element x y z (fractional)
Ca: 0.000 0.500 0.000
Ca: 0.500 0.000 0.000
Ag: 0.000 0.000 0.000
Hg: 0.000 0.000 0.500
P: 0.500 0.500 0.500

=====

# 8
Entry from the Alexandria database: an optimized crystal structure of Ca4Ag2HgPb (PBE).

Output
The calculation puts the raw total energy at -21.28 eV/cell. The calculation puts the formation energy at -445 meV/atom. The value obtained for the density is 6.00 g/cm3. For the density of states at the Fermi level, the calculation gives 4.5 states/eV/cell.

Cell: 9.366 9.366 9.366 Å, 33.01 33.01 33.01°
Element x y z (fractional)
Ca: 0.124 0.124 0.124
Ca: 0.374 0.374 0.374
Ca: 0.626 0.626 0.626
Ca: 0.876 0.876 0.876
Ag: 0.251 0.251 0.251
Ag: 0.749 0.749 0.749
Hg: 0.000 0.000 0.000
Pb: 0.500 0.500 0.500

=====

# 9
Entry from the Alexandria database: an optimized crystal structure of CaAgHgPb (PBE).

Output
The calculation puts the raw total energy at -39.77 eV/cell. The calculation puts the formation energy at -270 meV/atom. The value obtained for the density is 9.11 g/cm3. For the density of states at the Fermi level, the calculation gives 15.1 states/eV/cell.

Cell: 7.400 7.400 7.400 Å, 90.00 90.00 90.00°
Element x y z (fractional)
Ca: 0.000 0.000 0.000
Ca: 0.000 0.500 0.500
Ca: 0.500 0.000 0.500
Ca: 0.500 0.500 0.000
Ag: 0.250 0.250 0.750
Ag: 0.250 0.750 0.250
Ag: 0.750 0.250 0.250
Ag: 0.750 0.750 0.750
Hg: 0.250 0.250 0.250
Hg: 0.250 0.750 0.750
Hg: 0.750 0.250 0.750
Hg: 0.750 0.750 0.250
Pb: 0.000 0.000 0.500
Pb: 0.000 0.500 0.000
Pb: 0.500 0.000 0.000
Pb: 0.500 0.500 0.500

=====

# 10
Entry from the Alexandria database: an optimized crystal structure of Ca2Ag2HgPd5 (PBE).

Output
The calculation puts the raw total energy at -79.69 eV/cell. The calculation puts the formation energy at -387 meV/atom. The value obtained for the density is 8.80 g/cm3. For the density of states at the Fermi level, the calculation gives 7.5 states/eV/cell.

Cell: 9.673 9.673 4.147 Å, 90.00 90.00 90.00°
Element x y z (fractional)
Ca: 0.174 0.326 0.000
Ca: 0.326 0.826 0.000
Ca: 0.674 0.174 0.000
Ca: 0.826 0.674 0.000
Ag: 0.124 0.624 0.000
Ag: 0.376 0.124 0.000
Ag: 0.624 0.876 0.000
Ag: 0.876 0.376 0.000
Hg: 0.000 0.000 0.000
Hg: 0.500 0.500 0.000
Pd: 0.000 0.500 0.500
Pd: 0.064 0.799 0.500
Pd: 0.201 0.064 0.500
Pd: 0.299 0.564 0.500
Pd: 0.436 0.299 0.500
Pd: 0.500 0.000 0.500
Pd: 0.564 0.701 0.500
Pd: 0.701 0.436 0.500
Pd: 0.799 0.936 0.500
Pd: 0.936 0.201 0.500

=====

# 11
Entry from the Alexandria database: an optimized crystal structure of CaAg2HgPd (PBE).

Output
The calculation puts the raw total energy at -8.46 eV/cell. The calculation puts the formation energy at 947 meV/atom. The value obtained for the density is 5.85 g/cm3. For the density of states at the Fermi level, the calculation gives 3.1 states/eV/cell.

Cell: 5.345 5.345 5.594 Å, 90.00 90.00 90.00°
Element x y z (fractional)
Ca: 0.000 0.000 0.000
Ag: 0.000 0.500 0.000
Ag: 0.500 0.000 0.000
Hg: 0.000 0.000 0.500
Pd: 0.500 0.500 0.500

=====

# 12
Entry from the Alexandria database: an optimized crystal structure of CaAgHg4Pd2 (PBE).

Output
The calculation puts the raw total energy at -16.21 eV/cell. The calculation puts the formation energy at 29 meV/atom. The value obtained for the density is 9.82 g/cm3. For the density of states at the Fermi level, the calculation gives 3.3 states/eV/cell.

Cell: 4.229 4.229 11.002 Å, 90.00 90.00 90.00°
Element x y z (fractional)
Ca: 0.000 0.000 0.000
Ag: 0.000 0.000 0.500
Hg: 0.000 0.500 0.220
Hg: 0.000 0.500 0.780
Hg: 0.500 0.000 0.220
Hg: 0.500 0.000 0.780
Pd: 0.500 0.500 0.384
Pd: 0.500 0.500 0.616